# TcPH2

An optimized crystal structure of TcPH2 (PBE, Alexandria).

Results
- final energy (eV/atom) = -5.76
- symmetry = Cmc2_1, No. 36
- volume (A^3/atom) = 8.7
- offset from the most stable computed form (meV per atom) = 2
- D(E_F) (states/eV/cell) = 0.7

Cell: 2.9999 8.4241 5.5239 Å, 90.00 90.00 90.00°
Closest atoms and distances in Å follow each position.
Fractional coordinates of all 16 atoms:
Tc1 0.0000 0.4268 0.4967  4 H 1.78-1.84
Tc2 0.0000 0.5732 0.9967  4 H 1.78-1.84
Tc3 0.5000 0.9268 0.4967  4 H 1.78-1.84
Tc4 0.5000 0.0732 0.9967  4 H 1.78-1.84
P1 0.0000 0.8588 0.8384  5 H 2.25-2.38, 4 Tc 2.48-2.51
P2 0.0000 0.1412 0.3384  5 H 2.25-2.38, 4 Tc 2.48-2.51
P3 0.5000 0.3588 0.8384  5 H 2.25-2.38, 4 Tc 2.48-2.51
P4 0.5000 0.6412 0.3384  5 H 2.25-2.38, 4 Tc 2.48-2.51
H1 0.0000 0.3940 0.1682  2 Tc 1.78-1.84, 2 H 1.96
H2 0.0000 0.6060 0.6682  2 Tc 1.78-1.84, 2 H 1.96
H3 0.5000 0.8940 0.1682  2 Tc 1.78-1.84, 2 H 1.96
H4 0.5000 0.1060 0.6682  2 Tc 1.78-1.84, 2 H 1.96
H5 0.0000 0.8388 0.3804  2 Tc 1.79, 2 H 1.96
H6 0.0000 0.1612 0.8804  2 Tc 1.79, 2 H 1.96
H7 0.5000 0.3388 0.3804  2 Tc 1.79, 2 H 1.96
H8 0.5000 0.6612 0.8804  2 Tc 1.79, 2 H 1.96